#P
Entry from Alexandria: Os3C2 after structural relaxation (PBE).

The crystal system is orthorhombic.

The structure belongs to space group Fdd2 (No. 43); the cell edges are 9.075, 10.735 and 4.715 Å and the angles 90.00°, 90.00° and 90.00°. Symmetry generates all atoms from Os at (0.000, 0.000, 0.000), Os at (0.119, 0.429, 0.981) and C at (0.021, 0.178, 0.194).

=====

#Q
Entry from Alexandria: Os3C2 after structural relaxation (PBE).

The crystal system is trigonal.

The structure belongs to space group R-3m (No. 166, hexagonal axes); the cell edges are 2.8013, 2.8013 and 24.5027 Å and the angles 90.00°, 90.00° and 120.00°. Symmetry generates all atoms from Os at (0.0000, 0.0000, 0.0000), Os at (0.0000, 0.0000, 0.2146) and C at (0.0000, 0.0000, 0.3961).

=====

The calculated energies rank the structures as follows, beginning with the most stable: #Q, #P.

=====

#P
Entry from Alexandria: OsPbC3 after structural relaxation (PBE).

The crystal system is cubic.

The structure belongs to space group Pm-3m (No. 221); the cell edges are 4.276, 4.276 and 4.276 Å and the angles 90.00°, 90.00° and 90.00°. Symmetry generates all atoms from Os at (0.000, 0.000, 0.000), Pb at (0.500, 0.500, 0.500) and C at (0.000, 0.500, 0.500).

=====

#Q
Entry from Alexandria: OsPbC3 after structural relaxation (PBE).

The crystal system is cubic.

The structure belongs to space group Pm-3m (No. 221); the cell edges are 4.089, 4.089 and 4.089 Å and the angles 90.00°, 90.00° and 90.00°. Symmetry generates all atoms from Os at (0.000, 0.000, 0.000), Pb at (0.500, 0.500, 0.500) and C at (0.000, 0.000, 0.500).

=====

The calculated energies rank the structures as follows, beginning with the most stable: #Q, #P.